[1]
Below is a relaxed structure of NaSn2Au7, with properties calculated at the PBE level.

Energy relative to the elements (meV/atom): -95
Total moment (μB/f.u.): 0.00
V (Å³/f.u.): 236

Cell lengths 8.050, 8.050, 4.476 Å; angles 90.00, 90.00, 125.51 degrees
Sites, in units of the cell vectors:
Na1 0.000 0.000 0.000
Sn1 0.271 0.729 0.500
Sn2 0.729 0.271 0.500
Au1 0.084 0.293 0.500
Au2 0.293 0.084 0.500
Au3 0.381 0.619 0.000
Au4 0.500 0.500 0.500
Au5 0.619 0.381 0.000
Au6 0.707 0.916 0.500
Au7 0.916 0.707 0.500

=====

[2]
Below is a relaxed structure of Pm5CdRh4, with properties calculated at the PBE level.

Energy relative to the elements (meV/atom): -618
Total moment (μB/f.u.): 0.00
V (Å³/f.u.): 231

Cell lengths 3.573, 3.573, 18.080 Å; angles 90.00, 90.00, 90.00 degrees
Sites, in units of the cell vectors:
Pm1 0.000 0.000 0.000
Pm2 0.000 0.000 0.191
Pm3 0.000 0.000 0.379
Pm4 0.000 0.000 0.621
Pm5 0.000 0.000 0.809
Cd1 0.500 0.500 0.500
Rh1 0.500 0.500 0.096
Rh2 0.500 0.500 0.290
Rh3 0.500 0.500 0.710
Rh4 0.500 0.500 0.904

=====

[3]
Below is a relaxed structure of BeHgPb2, with properties calculated at the PBE level.

Energy relative to the elements (meV/atom): 482
Total moment (μB/f.u.): 0.00
V (Å³/f.u.): 116

Cell lengths 5.359, 5.359, 16.188 Å; angles 90.00, 90.00, 90.00 degrees
Sites, in units of the cell vectors:
Be1 0.000 0.000 0.000
Be2 0.000 0.500 0.250
Be3 0.500 0.000 0.750
Be4 0.500 0.500 0.500
Hg1 0.000 0.000 0.500
Hg2 0.000 0.500 0.750
Hg3 0.500 0.000 0.250
Hg4 0.500 0.500 0.000
Pb1 0.177 0.250 0.125
Pb2 0.250 0.677 0.375
Pb3 0.250 0.823 0.875
Pb4 0.323 0.250 0.625
Pb5 0.677 0.750 0.625
Pb6 0.750 0.177 0.875
Pb7 0.750 0.323 0.375
Pb8 0.823 0.750 0.125

=====

total moment of number 1 (NaSn2Au7)? 0.00 μB/f.u.

=====

energy relative to the elements of number 1 (NaSn2Au7)? -95 meV/atom

=====

Which formula does entry 3 have? BeHgPb2